[1]
Computed, not measured: a geometry-optimized LaAsI3 structure at the PBE level of DFT.

Geometry as POSCAR:
```
LaAsI3
1.0
5.7270 0.0000 0.0000
0.0000 5.7270 0.0000
0.0000 0.0000 5.7270
La As I
1 1 3
direct
0.0000 0.0000 0.0000
0.5000 0.5000 0.5000
0.0000 0.5000 0.5000
0.5000 0.0000 0.5000
0.5000 0.5000 0.0000
```

Summary:
Its space-group type is No. 221. The calculation puts the excess energy over the best structure of this formula in the dataset at 446 meV per atom. The formation energy from raw total energies is -119 meV per atom. The value obtained for the density of states at the Fermi level is 20.0 states/eV/cell. Its calculated total energy is -2.96 eV/atom. The volume comes out at 187.8 Å³ per cell.

[2]
Computed, not measured: a geometry-optimized LaAsI3 structure at the PBE level of DFT.

Geometry as POSCAR:
```
LaAsI3
1.0
6.3180 0.0000 0.0000
0.0000 6.3180 0.0000
0.0000 0.0000 6.3180
La As I
1 1 3
direct
0.0000 0.0000 0.0000
0.5000 0.5000 0.5000
0.0000 0.0000 0.5000
0.0000 0.5000 0.0000
0.5000 0.0000 0.0000
```

Summary:
Its space-group type is No. 221. The calculation puts the excess energy over the best structure of this formula in the dataset at 0 meV per atom. The formation energy from raw total energies is -565 meV per atom. The value obtained for the density of states at the Fermi level is 0.0 states/eV/cell. Its calculated total energy is -3.41 eV/atom. The volume comes out at 252.2 Å³ per cell.

[3]
Computed, not measured: a geometry-optimized LaAsI structure at the PBE level of DFT.

Geometry as POSCAR:
```
LaAsI
1.0
6.4886 3.7462 4.2996
-6.4886 3.7462 4.2996
0.0000 -7.4924 4.2996
La As I
6 6 6
direct
0.1185 0.8175 0.6193
0.1825 0.3807 0.8815
0.3807 0.8815 0.1825
0.6193 0.1185 0.8175
0.8175 0.6193 0.1185
0.8815 0.1825 0.3807
0.0565 0.9104 0.2772
0.0896 0.7228 0.9435
0.2772 0.0565 0.9104
0.7228 0.9435 0.0896
0.9104 0.2772 0.0565
0.9435 0.0896 0.7228
0.1935 0.4304 0.5220
0.4304 0.5221 0.1935
0.4780 0.8065 0.5696
0.5220 0.1935 0.4304
0.5696 0.4780 0.8065
0.8065 0.5696 0.4780
```

Summary:
Its space-group type is No. 148. The formation energy from raw total energies is -1060 meV per atom. The value obtained for the density of states at the Fermi level is 4.6 states/eV/cell. Its calculated total energy is -4.77 eV/atom. The volume comes out at 627.1 Å³ per cell.

[4]
Computed, not measured: a geometry-optimized La8As3I4N structure at the PBE level of DFT.

Geometry as POSCAR:
```
La8As3I4N
1.0
4.2967 2.4807 7.7895
-4.2967 2.4807 7.7895
0.0000 -4.9614 7.7895
La As I N
8 3 4 1
direct
0.2336 0.2336 0.2336
0.2694 0.7086 0.7086
0.2914 0.2914 0.7306
0.2914 0.7306 0.2914
0.7086 0.2694 0.7086
0.7086 0.7086 0.2694
0.7306 0.2914 0.2914
0.7664 0.7664 0.7664
0.0000 0.0000 0.5000
0.0000 0.5000 0.0000
0.5000 0.0000 0.0000
0.0000 0.0000 0.0000
0.0000 0.5000 0.5000
0.5000 0.0000 0.5000
0.5000 0.5000 0.0000
0.5000 0.5000 0.5000
```

Summary:
Its space-group type is No. 166. The formation energy from raw total energies is -1355 meV per atom. The value obtained for the density of states at the Fermi level is 5.6 states/eV/cell. Its calculated total energy is -5.60 eV/atom. The volume comes out at 498.2 Å³ per cell.